An optimized crystal structure of LiHfRe3, computed with PBE-GGA.

DFT formation energy = 2.3962 eV/atom
E above lowest polymorph = 1.4170 eV per atom
E = -7.45 eV per atom
Crystal system = cubic

a b c (Å): 4.826 4.826 4.826
angles (deg): 90.00 90.00 90.00
Space group Pm-3m (No. 221)
Symmetry-distinct sites (fractional):
Li 0.000 0.000 0.000 [1 per cell]
Hf 0.500 0.500 0.500 [1 per cell]
Re 0.000 0.500 0.500 [3 per cell]

An optimized crystal structure of Li2HfRe, computed with PBE-GGA.

DFT formation energy = 0.5207 eV/atom
E above lowest polymorph = 0.0029 eV per atom
E = -6.04 eV per atom
Crystal system = cubic

a b c (Å): 6.156 6.156 6.156
angles (deg): 90.00 90.00 90.00
Space group Fm-3m (No. 225)
Symmetry-distinct sites (fractional):
Li 0.250 0.250 0.250 [8 per cell]
Hf 0.000 0.000 0.000 [4 per cell]
Re 0.000 0.000 0.500 [4 per cell]

An optimized crystal structure of LiHf2Re, computed with PBE-GGA.

DFT formation energy = 0.4775 eV/atom
E above lowest polymorph = 0.6828 eV per atom
E = -8.09 eV per atom
Crystal system = tetragonal

a b c (Å): 7.216 7.216 5.713
angles (deg): 90.00 90.00 90.00
Space group I-42d (No. 122)
Symmetry-distinct sites (fractional):
Li 0.000 0.000 0.000 [4 per cell]
Hf 0.249 0.750 0.125 [8 per cell]
Re 0.000 0.000 0.500 [4 per cell]

Please write out number 1 again, unchanged.
An optimized crystal structure of LiHfRe3, computed with PBE-GGA.

DFT formation energy = 2.3962 eV/atom
E above lowest polymorph = 1.4170 eV per atom
E = -7.45 eV per atom
Crystal system = cubic

a b c (Å): 4.826 4.826 4.826
angles (deg): 90.00 90.00 90.00
Space group Pm-3m (No. 221)
Symmetry-distinct sites (fractional):
Li 0.000 0.000 0.000 [1 per cell]
Hf 0.500 0.500 0.500 [1 per cell]
Re 0.000 0.500 0.500 [3 per cell]